No. 1
{
  "formula": "Mg4Co",
  "functional": "GGA-PBE",
  "state": "optimized geometry",
  "lattice_angstrom": [[-0.530, -3.199, -4.671], [3.371, 3.137, 3.336], [-0.153, -4.421, 3.573]],
  "species": ["Co", "Mg", "Mg", "Mg", "Mg"],
  "fractional_positions": [[0.000, 0.000, 0.000], [0.765, 0.424, 0.188], [0.424, 0.235, 0.659], [0.235, 0.576, 0.812], [0.576, 0.765, 0.341]],
  "dft_energy_ev_per_fu": -13.28,
  "crystal_system": "tetragonal"
}



No. 2
{
  "formula": "PuTh3",
  "functional": "GGA-PBE",
  "state": "optimized geometry",
  "lattice_angstrom": [[-3.267, -1.051, 0.778], [2.227, -4.065, 3.862], [0.274, 6.497, 1.968]],
  "species": ["Th", "Th", "Th", "Pu"],
  "fractional_positions": [[0.253, 0.591, 0.506], [0.500, 0.492, 0.000], [0.747, 0.085, 0.494], [0.000, 0.998, 0.000]],
  "dft_energy_ev_per_fu": -36.14,
  "relative_energy_ev_per_atom": 0.042,
  "crystal_system": "orthorhombic"
}



No. 3
{
  "formula": "CaYTl",
  "functional": "GGA-PBE",
  "state": "optimized geometry",
  "lattice_angstrom": [[-0.787, -3.705, -5.927], [4.968, 1.391, -1.529], [3.455, -7.612, 4.300]],
  "species": ["Y", "Y", "Y", "Y", "Tl", "Tl", "Tl", "Tl", "Ca", "Ca", "Ca", "Ca"],
  "fractional_positions": [[0.210, 0.250, 0.419], [0.290, 0.750, 0.919], [0.790, 0.750, 0.581], [0.710, 0.250, 0.081], [0.746, 0.250, 0.413], [0.754, 0.750, 0.913], [0.254, 0.750, 0.587], [0.246, 0.250, 0.087], [0.008, 0.250, 0.776], [0.492, 0.750, 0.276], [0.992, 0.750, 0.224], [0.508, 0.250, 0.724]],
  "dft_energy_ev_per_fu": -11.88,
  "relative_energy_ev_per_atom": 0.000,
  "crystal_system": "orthorhombic"
}



No. 4
{
  "formula": "In2Ga2H",
  "functional": "GGA-PBE",
  "state": "optimized geometry",
  "lattice_angstrom": [[5.949, 0.000, 0.000], [0.000, 5.949, 0.000], [0.000, 0.000, 5.503]],
  "species": ["H", "H", "Ga", "Ga", "Ga", "Ga", "In", "In", "In", "In"],
  "fractional_positions": [[0.000, 0.000, 0.000], [0.500, 0.500, 0.000], [0.330, 0.830, 0.000], [0.830, 0.670, 0.000], [0.670, 0.170, 0.000], [0.170, 0.330, 0.000], [0.195, 0.695, 0.500], [0.695, 0.805, 0.500], [0.805, 0.305, 0.500], [0.305, 0.195, 0.500]],
  "dft_energy_ev_per_fu": -13.81,
  "relative_energy_ev_per_atom": 0.000,
  "crystal_system": "tetragonal"
}



No. 5
{
  "formula": "TbNdGa4",
  "functional": "GGA-PBE",
  "state": "optimized geometry",
  "lattice_angstrom": [[-2.216, 3.938, -3.279], [-4.226, 3.134, 1.867], [0.829, 5.396, 1.167]],
  "species": ["Nd", "Tb", "Ga", "Ga", "Ga", "Ga"],
  "fractional_positions": [[0.000, 0.000, 0.000], [0.250, 0.250, 0.250], [0.625, 0.625, 0.125], [0.625, 0.125, 0.625], [0.625, 0.625, 0.625], [0.125, 0.625, 0.625]],
  "dft_energy_ev_per_fu": -24.86,
  "relative_energy_ev_per_atom": 0.104,
  "crystal_system": "cubic"
}



No. 6
{
  "formula": "NpPaGa6",
  "functional": "GGA-PBE",
  "state": "optimized geometry",
  "lattice_angstrom": [[4.608, 0.000, 0.000], [0.000, 6.219, -0.201], [0.000, -2.934, 5.487]],
  "species": ["Np", "Pa", "Ga", "Ga", "Ga", "Ga", "Ga", "Ga"],
  "fractional_positions": [[0.500, 0.417, 0.583], [0.000, 0.083, 0.917], [0.000, 0.055, 0.403], [0.000, 0.597, 0.945], [0.000, 0.597, 0.403], [0.500, 0.451, 0.101], [0.500, 0.899, 0.549], [0.500, 0.900, 0.100]],
  "dft_energy_ev_per_fu": -42.86,
  "relative_energy_ev_per_atom": 0.008,
  "crystal_system": "hexagonal"
}



No. 7
{
  "formula": "La6Os2SBr3",
  "functional": "GGA-PBE",
  "state": "optimized geometry",
  "lattice_angstrom": [[-5.322, 3.549, 3.572], [0.135, -7.326, -0.028], [6.087, 1.307, 5.279]],
  "species": ["La", "La", "La", "La", "La", "La", "Os", "Os", "S", "Br", "Br", "Br"],
  "fractional_positions": [[0.934, 0.585, 0.801], [0.718, 0.718, 0.199], [0.066, 0.415, 0.199], [0.585, 0.934, 0.801], [0.282, 0.282, 0.801], [0.415, 0.066, 0.199], [0.333, 0.667, 0.000], [0.667, 0.333, 0.000], [0.000, 0.000, 0.000], [0.165, 0.835, 0.500], [0.835, 0.165, 0.500], [0.500, 0.500, 0.500]],
  "dft_energy_ev_per_fu": -75.26,
  "formation_energy_uncorrected_ev_per_atom": -1.17,
  "crystal_system": "monoclinic"
}



No. 8
{
  "formula": "Sm2Ho8Tm3",
  "functional": "GGA-PBE",
  "state": "optimized geometry",
  "lattice_angstrom": [[5.464, 0.000, 0.734], [0.000, 7.546, 0.000], [-1.368, -3.773, 10.166]],
  "species": ["Sm", "Sm", "Ho", "Ho", "Ho", "Ho", "Ho", "Ho", "Ho", "Ho", "Tm", "Tm", "Tm"],
  "fractional_positions": [[0.499, 0.241, 0.482], [0.501, 0.759, 0.518], [0.000, 0.662, 0.325], [0.000, 0.338, 0.675], [0.000, 0.129, 0.259], [0.000, 0.871, 0.741], [0.500, 0.607, 0.787], [0.500, 0.180, 0.787], [0.500, 0.820, 0.213], [0.500, 0.393, 0.213], [0.500, 0.000, 0.000], [0.000, 0.284, 0.000], [0.000, 0.716, 0.000]],
  "dft_energy_ev_per_fu": -56.37,
  "relative_energy_ev_per_atom": 0.167,
  "crystal_system": "monoclinic"
}



No. 9
{
  "formula": "MgNiAsRh2",
  "functional": "GGA-PBE",
  "state": "optimized geometry",
  "lattice_angstrom": [[4.521, 0.000, 0.000], [0.000, 4.797, 0.000], [0.000, 0.000, 4.521]],
  "species": ["Ni", "As", "Rh", "Rh", "Mg"],
  "fractional_positions": [[0.500, 0.500, 0.500], [0.000, 0.000, 0.000], [0.000, 0.000, 0.500], [0.500, 0.000, 0.000], [0.000, 0.500, 0.000]],
  "dft_energy_ev_per_fu": -23.79,
  "crystal_system": "tetragonal"
}



No. 10
{
  "formula": "Sc2NbBBr",
  "functional": "GGA-PBE",
  "state": "optimized geometry",
  "lattice_angstrom": [[-3.078, 2.448, -2.857], [-0.550, -3.842, -2.701], [-3.720, -1.426, 2.786]],
  "species": ["Sc", "Sc", "Nb", "B", "Br"],
  "fractional_positions": [[0.000, 0.000, 0.500], [0.500, 0.000, 0.000], [0.000, 0.500, 0.000], [0.500, 0.500, 0.500], [0.000, 0.000, 0.000]],
  "dft_energy_ev_per_fu": -25.19,
  "formation_energy_uncorrected_ev_per_atom": 1.18,
  "crystal_system": "tetragonal"
}



No. 11
{
  "formula": "ZrGaP",
  "functional": "GGA-PBE",
  "state": "optimized geometry",
  "lattice_angstrom": [[-1.394, 1.203, -8.290], [2.263, -4.650, -1.056], [-4.136, -2.101, 0.391]],
  "species": ["Zr", "Zr", "Zr", "Zr", "Ga", "Ga", "Ga", "Ga", "P", "P", "P", "P"],
  "fractional_positions": [[0.709, 0.500, 0.000], [0.291, 0.500, 0.000], [0.209, 0.000, 0.500], [0.791, 0.000, 0.500], [0.000, 0.235, 0.000], [0.000, 0.765, 0.000], [0.500, 0.735, 0.500], [0.500, 0.265, 0.500], [0.637, 0.000, 0.000], [0.363, 0.000, 0.000], [0.137, 0.500, 0.500], [0.863, 0.500, 0.500]],
  "dft_energy_ev_per_fu": -19.00,
  "relative_energy_ev_per_atom": 0.089,
  "crystal_system": "orthorhombic"
}



No. 12
{
  "formula": "LaPr2SmN4",
  "functional": "GGA-PBE",
  "state": "optimized geometry",
  "lattice_angstrom": [[3.681, 0.000, 0.000], [0.000, 6.377, 0.115], [0.000, -2.228, 5.972]],
  "species": ["La", "Pr", "Pr", "Sm", "N", "N", "N", "N"],
  "fractional_positions": [[0.000, 0.000, 0.000], [0.500, 0.000, 0.500], [0.000, 0.500, 0.500], [0.500, 0.500, 0.000], [0.500, 0.253, 0.249], [0.500, 0.747, 0.751], [0.000, 0.255, 0.754], [0.000, 0.745, 0.246]],
  "dft_energy_ev_per_fu": -63.19,
  "formation_energy_uncorrected_ev_per_atom": -1.33,
  "crystal_system": "monoclinic"
}



No. 13
{
  "formula": "Ir2CCl",
  "functional": "GGA-PBE",
  "state": "optimized geometry",
  "lattice_angstrom": [[5.025, 0.000, 0.000], [0.000, 5.025, 0.000], [2.512, 2.512, 5.145]],
  "species": ["C", "C", "Ir", "Ir", "Ir", "Ir", "Cl", "Cl"],
  "fractional_positions": [[0.500, 0.500, 0.000], [0.250, 0.750, 0.500], [0.535, 0.125, 0.250], [0.215, 0.625, 0.250], [0.375, 0.465, 0.750], [0.875, 0.785, 0.750], [0.000, 0.000, 0.000], [0.750, 0.250, 0.500]],
  "dft_energy_ev_per_fu": -25.79,
  "relative_energy_ev_per_atom": 0.000,
  "formation_energy_uncorrected_ev_per_atom": 0.75,
  "crystal_system": "tetragonal"
}



No. 14
{
  "formula": "LaTmTcO6",
  "functional": "GGA-PBE",
  "state": "optimized geometry",
  "lattice_angstrom": [[-0.635, 3.849, 3.839], [-4.854, 0.654, 2.443], [1.358, -3.365, 3.598]],
  "species": ["La", "Tm", "Tc", "O", "O", "O", "O", "O", "O"],
  "fractional_positions": [[0.000, 0.000, 0.000], [0.667, 0.667, 0.500], [0.333, 0.333, 0.500], [0.037, 0.340, 0.285], [0.340, 0.037, 0.715], [0.623, 0.340, 0.715], [0.037, 0.623, 0.715], [0.340, 0.623, 0.285], [0.623, 0.037, 0.285]],
  "dft_energy_ev_per_fu": -72.43,
  "formation_energy_uncorrected_ev_per_atom": -2.55,
  "crystal_system": "trigonal"
}



No. 15
{
  "formula": "RbFe3H",
  "functional": "GGA-PBE",
  "state": "optimized geometry",
  "lattice_angstrom": [[-0.834, -4.296, 1.918], [4.468, -1.333, -1.043], [1.473, 1.612, 4.250]],
  "species": ["H", "Fe", "Fe", "Fe", "Rb"],
  "fractional_positions": [[0.500, 0.500, 0.500], [0.000, 0.500, 0.000], [0.000, 0.000, 0.500], [0.500, 0.000, 0.000], [0.000, 0.000, 0.000]],
  "dft_energy_ev_per_fu": -14.20,
  "relative_energy_ev_per_atom": 1.848,
  "crystal_system": "cubic"
}



No. 16
{
  "formula": "AuC3O",
  "functional": "GGA-PBE",
  "state": "optimized geometry",
  "lattice_angstrom": [[3.693, 0.000, 0.000], [0.000, 3.693, 0.000], [0.000, 0.000, 3.693]],
  "species": ["C", "C", "C", "Au", "O"],
  "fractional_positions": [[0.000, 0.500, 0.000], [0.000, 0.000, 0.500], [0.500, 0.000, 0.000], [0.500, 0.500, 0.500], [0.000, 0.000, 0.000]],
  "dft_energy_ev_per_fu": -20.56,
  "relative_energy_ev_per_atom": 0.000,
  "formation_energy_uncorrected_ev_per_atom": 3.07,
  "crystal_system": "cubic"
}



No. 17
{
  "formula": "NaSr2Li2Zn",
  "functional": "GGA-PBE",
  "state": "optimized geometry",
  "lattice_angstrom": [[-5.416, 2.111, 3.372], [-4.994, -0.314, -7.825], [3.587, -7.096, 3.508]],
  "species": ["Na", "Na", "Sr", "Sr", "Sr", "Sr", "Li", "Li", "Li", "Li", "Zn", "Zn"],
  "fractional_positions": [[0.250, 0.000, 0.000], [0.750, 0.000, 0.000], [0.695, 0.830, 0.390], [0.195, 0.560, 0.390], [0.805, 0.440, 0.610], [0.305, 0.170, 0.610], [0.440, 0.649, 0.881], [0.560, 0.351, 0.119], [0.060, 0.769, 0.119], [0.940, 0.231, 0.881], [0.750, 0.500, 0.000], [0.250, 0.500, 0.000]],
  "dft_energy_ev_per_fu": -9.88,
  "crystal_system": "orthorhombic"
}



No. 18
{
  "formula": "ErSi",
  "functional": "GGA-PBE",
  "state": "optimized geometry",
  "lattice_angstrom": [[3.808, 0.000, 0.000], [0.000, 5.635, 0.000], [0.000, 0.000, 7.825]],
  "species": ["Si", "Si", "Si", "Si", "Er", "Er", "Er", "Er"],
  "fractional_positions": [[0.250, 0.869, 0.538], [0.750, 0.131, 0.462], [0.750, 0.369, 0.962], [0.250, 0.631, 0.038], [0.250, 0.385, 0.680], [0.750, 0.615, 0.320], [0.750, 0.885, 0.820], [0.250, 0.115, 0.180]],
  "dft_energy_ev_per_fu": -11.64,
  "formation_energy_uncorrected_ev_per_atom": -0.83,
  "crystal_system": "orthorhombic"
}



No. 19
{
  "formula": "AcTlInHg",
  "functional": "GGA-PBE",
  "state": "optimized geometry",
  "lattice_angstrom": [[-1.951, -2.210, -4.341], [-0.584, -4.536, 2.571], [-2.726, 4.564, 2.073]],
  "species": ["Ac", "Tl", "In", "Hg"],
  "fractional_positions": [[0.500, 0.500, 0.000], [0.250, 0.750, 0.500], [0.000, 0.000, 0.000], [0.750, 0.250, 0.500]],
  "dft_energy_ev_per_fu": -10.84,
  "relative_energy_ev_per_atom": 0.000,
  "crystal_system": "tetragonal"
}



No. 20
{
  "formula": "PrDy3Zn2",
  "functional": "GGA-PBE",
  "state": "optimized geometry",
  "lattice_angstrom": [[-3.057, 1.775, 0.561], [-1.685, -2.182, -2.283], [-2.728, -7.648, 9.324]],
  "species": ["Pr", "Dy", "Dy", "Dy", "Zn", "Zn"],
  "fractional_positions": [[0.500, 0.500, 0.500], [0.000, 0.000, 0.000], [0.000, 0.000, 0.715], [0.000, 0.000, 0.285], [0.500, 0.500, 0.858], [0.500, 0.500, 0.142]],
  "dft_energy_ev_per_fu": -22.51,
  "crystal_system": "tetragonal"
}



No. 21
{
  "formula": "TaFe2Ag",
  "functional": "GGA-PBE",
  "state": "optimized geometry",
  "lattice_angstrom": [[-3.644, -0.605, 2.840], [-3.051, -3.052, 1.757], [2.515, -1.205, 4.100]],
  "species": ["Ag", "Fe", "Fe", "Ta"],
  "fractional_positions": [[0.250, 0.250, 0.250], [0.998, 0.998, 0.993], [0.502, 0.502, 0.507], [0.750, 0.750, 0.750]],
  "dft_energy_ev_per_fu": -30.19,
  "relative_energy_ev_per_atom": 0.162,
  "crystal_system": "monoclinic"
}



No. 22
{
  "formula": "BaCd2SbCl",
  "functional": "GGA-PBE",
  "state": "optimized geometry",
  "lattice_angstrom": [[7.013, 0.000, 0.000], [0.000, 6.579, 0.000], [0.000, 0.000, 7.013]],
  "species": ["Sb", "Cl", "Ba", "Cd", "Cd"],
  "fractional_positions": [[0.000, 0.500, 0.000], [0.500, 0.500, 0.500], [0.000, 0.000, 0.000], [0.000, 0.000, 0.500], [0.500, 0.000, 0.000]],
  "dft_energy_ev_per_fu": -8.08,
  "formation_energy_uncorrected_ev_per_atom": 0.33,
  "crystal_system": "tetragonal"
}



No. 23
{
  "formula": "Zn2AgO",
  "functional": "GGA-PBE",
  "state": "optimized geometry",
  "lattice_angstrom": [[6.081, 0.000, 0.000], [0.000, 6.081, 0.000], [3.041, 3.041, 3.333]],
  "species": ["Zn", "Zn", "Zn", "Zn", "O", "O", "Ag", "Ag"],
  "fractional_positions": [[0.542, 0.125, 0.250], [0.208, 0.625, 0.250], [0.375, 0.458, 0.750], [0.875, 0.792, 0.750], [0.500, 0.500, 0.000], [0.250, 0.750, 0.500], [0.000, 0.000, 0.000], [0.750, 0.250, 0.500]],
  "dft_energy_ev_per_fu": -12.12,
  "formation_energy_uncorrected_ev_per_atom": -0.44,
  "crystal_system": "tetragonal"
}



No. 24
{
  "formula": "Sr2ZnNi2",
  "functional": "GGA-PBE",
  "state": "optimized geometry",
  "lattice_angstrom": [[3.565, 0.000, 0.000], [0.000, 3.565, 0.000], [1.782, 1.782, 9.281]],
  "species": ["Sr", "Sr", "Zn", "Ni", "Ni"],
  "fractional_positions": [[0.382, 0.382, 0.236], [0.618, 0.618, 0.764], [0.000, 0.000, 0.000], [0.750, 0.250, 0.500], [0.250, 0.750, 0.500]],
  "dft_energy_ev_per_fu": -15.41,
  "crystal_system": "tetragonal"
}



No. 25
{
  "formula": "Zr2CrBr",
  "functional": "GGA-PBE",
  "state": "optimized geometry",
  "lattice_angstrom": [[-2.040, -3.828, -2.526], [4.618, 0.363, -1.932], [1.088, -2.043, 2.217]],
  "species": ["Br", "Cr", "Zr", "Zr"],
  "fractional_positions": [[0.500, 0.000, 0.500], [0.000, 0.500, 0.500], [0.000, 0.000, 0.000], [0.500, 0.500, 0.000]],
  "dft_energy_ev_per_fu": -27.66,
  "relative_energy_ev_per_atom": 0.401,
  "formation_energy_uncorrected_ev_per_atom": 0.18,
  "crystal_system": "orthorhombic"
}



No. 26
{
  "formula": "ReAg2Cl",
  "functional": "GGA-PBE",
  "state": "optimized geometry",
  "lattice_angstrom": [[-2.816, -0.580, 3.208], [-0.710, -2.497, -1.074], [3.705, -3.735, 2.577]],
  "species": ["Re", "Ag", "Ag", "Cl"],
  "fractional_positions": [[0.500, 0.577, 0.721], [0.000, 0.941, 0.994], [0.500, 0.316, 0.241], [0.000, 0.665, 0.544]],
  "dft_energy_ev_per_fu": -17.55,
  "relative_energy_ev_per_atom": 0.223,
  "formation_energy_uncorrected_ev_per_atom": 0.61,
  "crystal_system": "orthorhombic"
}